An optimized crystal structure of CoPtSO, computed with GGA+U.

Results
* V: 249.7 Å³ per cell
* polymorph energy (0 for the lowest one): 0.79 eV per formula unit
* magnetic moment: 3.000 μB/f.u.
* energy: -5.335 eV per atom
* symmetry: P2_12_12_1

abc: 7.141 5.940 5.886
angles: 90.00 90.00 90.00
Positions (direct):
1 S 0.018 0.868 0.160
2 O 0.417 0.499 0.291
3 S 0.982 0.368 0.340
4 Co 0.251 0.379 0.543
5 S 0.482 0.132 0.660
6 O 0.917 0.001 0.709
7 Co 0.249 0.621 0.043
8 Pt 0.993 0.717 0.514
9 S 0.518 0.632 0.840
10 O 0.083 0.501 0.791
11 Pt 0.007 0.217 0.986
12 Pt 0.507 0.283 0.014
13 Pt 0.493 0.783 0.486
14 O 0.583 0.999 0.209
15 Co 0.751 0.121 0.457
16 Co 0.749 0.879 0.957